1.
{
  "formula": "Li2ZnSiS4",
  "functional": "PBE",
  "state": "relaxed",
  "e_form_raw_mev_per_atom": -1009.0,
  "magmom_total_mub_per_fu": 0.0,
  "dft_energy_ry_per_atom": -0.323,
  "vol_a3_per_atom": 19.76,
  "cell": [[7.390, 0.000, 0.000], [0.000, 6.852, 0.000], [0.000, 0.000, 6.243]],
  "species": ["Li", "Li", "Li", "Li", "Zn", "Zn", "Si", "Si", "S", "S", "S", "S", "S", "S", "S", "S"],
  "fractional_positions": [[0.246, 0.169, 0.000], [0.254, 0.831, 0.500], [0.746, 0.831, 0.500], [0.754, 0.169, 0.000], [0.000, 0.356, 0.498], [0.500, 0.644, 0.998], [0.000, 0.665, 0.000], [0.500, 0.335, 0.500], [0.000, 0.374, 0.878], [0.000, 0.666, 0.343], [0.235, 0.823, 0.891], [0.265, 0.177, 0.391], [0.500, 0.334, 0.843], [0.500, 0.626, 0.378], [0.735, 0.177, 0.391], [0.765, 0.823, 0.891]]
}

=====

2.
{
  "formula": "LaCoSe2",
  "functional": "PBE",
  "state": "relaxed",
  "e_form_raw_mev_per_atom": -292.8,
  "magmom_total_mub_per_fu": 2.0,
  "dft_energy_ry_per_atom": -0.371,
  "vol_a3_per_atom": 21.55,
  "cell": [[7.012, 0.000, 0.000], [0.000, 7.012, 0.000], [0.000, 0.000, 7.012]],
  "species": ["La", "La", "La", "La", "Co", "Co", "Co", "Co", "Se", "Se", "Se", "Se", "Se", "Se", "Se", "Se"],
  "fractional_positions": [[0.000, 0.000, 0.000], [0.000, 0.500, 0.500], [0.500, 0.000, 0.500], [0.500, 0.500, 0.000], [0.250, 0.250, 0.250], [0.250, 0.750, 0.750], [0.750, 0.250, 0.750], [0.750, 0.750, 0.250], [0.000, 0.000, 0.500], [0.000, 0.500, 0.000], [0.250, 0.250, 0.750], [0.250, 0.750, 0.250], [0.500, 0.000, 0.000], [0.500, 0.500, 0.500], [0.750, 0.250, 0.250], [0.750, 0.750, 0.750]]
}

=====

3.
{
  "formula": "Ba3U2InS9",
  "functional": "PBE",
  "state": "relaxed",
  "e_form_raw_mev_per_atom": -1513.3,
  "magmom_total_mub_per_fu": 3.0,
  "dft_energy_ry_per_atom": -0.446,
  "vol_a3_per_atom": 27.82,
  "cell": [[7.321, 0.000, 0.000], [-3.661, 6.340, 0.000], [0.000, 0.000, 8.989]],
  "species": ["Ba", "Ba", "Ba", "U", "U", "In", "S", "S", "S", "S", "S", "S", "S", "S", "S"],
  "fractional_positions": [[0.000, 0.000, 0.000], [0.333, 0.667, 0.663], [0.667, 0.333, 0.337], [0.333, 0.667, 0.174], [0.667, 0.333, 0.826], [0.000, 0.000, 0.500], [0.000, 0.500, 0.000], [0.165, 0.331, 0.333], [0.165, 0.835, 0.333], [0.331, 0.165, 0.667], [0.500, 0.000, 0.000], [0.500, 0.500, 0.000], [0.669, 0.835, 0.333], [0.835, 0.165, 0.667], [0.835, 0.669, 0.667]]
}

=====

4.
{
  "formula": "YCoNi3",
  "functional": "PBE",
  "state": "relaxed",
  "formation_enthalpy_0k_ev_per_atom": -0.115,
  "magmom_total_mub_per_fu": 2.3,
  "dft_energy_ry_per_atom": -0.463,
  "vol_a3_per_atom": 15.34,
  "cell": [[-2.401, 3.972, 4.020], [2.401, -3.972, 4.020], [2.401, 3.972, -4.020]],
  "species": ["Y", "Y", "Co", "Co", "Ni", "Ni", "Ni", "Ni", "Ni", "Ni"],
  "fractional_positions": [[0.285, 0.035, 0.250], [0.715, 0.965, 0.750], [0.000, 0.500, 0.500], [0.500, 0.500, 0.000], [0.082, 0.332, 0.750], [0.247, 0.000, 0.747], [0.247, 0.500, 0.247], [0.753, 0.000, 0.253], [0.753, 0.500, 0.753], [0.918, 0.668, 0.250]]
}